Entry 1:
A relaxed structure of MgBeGaNi. Source: OQMD, functional PBE.

CIF file:
```
data_MgBeGaNi
_space_group_name_H-M_alt 'P 1'
_space_group_IT_number 1
_cell_length_a 4.169
_cell_length_b 4.169
_cell_length_c 4.169
_cell_angle_alpha 60.00
_cell_angle_beta 60.00
_cell_angle_gamma 60.00
loop_
_space_group_symop_operation_xyz
'x,y,z'
loop_
_atom_site_label
_atom_site_type_symbol
_atom_site_fract_x
_atom_site_fract_y
_atom_site_fract_z
Mg1 Mg 0.000 0.000 0.000
Be1 Be 0.750 0.750 0.750
Ga1 Ga 0.500 0.500 0.500
Ni1 Ni 0.250 0.250 0.250
```

Entry 2:
A relaxed structure of BeGaMo. Source: OQMD, functional PBE.

CIF file:
```
data_BeGaMo
_space_group_name_H-M_alt 'P 1'
_space_group_IT_number 1
_cell_length_a 4.109
_cell_length_b 4.109
_cell_length_c 4.109
_cell_angle_alpha 60.00
_cell_angle_beta 60.00
_cell_angle_gamma 60.00
loop_
_space_group_symop_operation_xyz
'x,y,z'
loop_
_atom_site_label
_atom_site_type_symbol
_atom_site_fract_x
_atom_site_fract_y
_atom_site_fract_z
Be1 Be 0.000 0.000 0.000
Ga1 Ga 0.500 0.500 0.500
Mo1 Mo 0.250 0.250 0.250
```

Entry 3:
A relaxed structure of BeGaMo. Source: OQMD, functional PBE.

CIF file:
```
data_BeGaMo
_space_group_name_H-M_alt 'P 1'
_space_group_IT_number 1
_cell_length_a 4.035
_cell_length_b 4.035
_cell_length_c 4.035
_cell_angle_alpha 60.00
_cell_angle_beta 60.00
_cell_angle_gamma 60.00
loop_
_space_group_symop_operation_xyz
'x,y,z'
loop_
_atom_site_label
_atom_site_type_symbol
_atom_site_fract_x
_atom_site_fract_y
_atom_site_fract_z
Be1 Be 0.000 0.000 0.000
Ga1 Ga 0.250 0.250 0.250
Mo1 Mo 0.500 0.500 0.500
```

Entry 4:
A relaxed structure of Be2GaMo. Source: OQMD, functional PBE.

CIF file:
```
data_Be2GaMo
_space_group_name_H-M_alt 'P 1'
_space_group_IT_number 1
_cell_length_a 4.116
_cell_length_b 4.116
_cell_length_c 4.116
_cell_angle_alpha 60.00
_cell_angle_beta 60.00
_cell_angle_gamma 60.00
loop_
_space_group_symop_operation_xyz
'x,y,z'
loop_
_atom_site_label
_atom_site_type_symbol
_atom_site_fract_x
_atom_site_fract_y
_atom_site_fract_z
Be1 Be 0.000 0.000 0.000
Be2 Be 0.250 0.250 0.250
Ga1 Ga 0.500 0.500 0.500
Mo1 Mo 0.750 0.750 0.750
```

Entry 5:
A relaxed structure of BeGa2Mo. Source: OQMD, functional PBE.

CIF file:
```
data_BeGa2Mo
_space_group_name_H-M_alt 'P 1'
_space_group_IT_number 1
_cell_length_a 4.292
_cell_length_b 4.292
_cell_length_c 4.292
_cell_angle_alpha 60.00
_cell_angle_beta 60.00
_cell_angle_gamma 60.00
loop_
_space_group_symop_operation_xyz
'x,y,z'
loop_
_atom_site_label
_atom_site_type_symbol
_atom_site_fract_x
_atom_site_fract_y
_atom_site_fract_z
Be1 Be 0.000 0.000 0.000
Ga1 Ga 0.250 0.250 0.250
Ga2 Ga 0.500 0.500 0.500
Mo1 Mo 0.750 0.750 0.750
```

Entry 6:
A relaxed structure of BeGaMo2. Source: OQMD, functional PBE.

CIF file:
```
data_BeGaMo2
_space_group_name_H-M_alt 'P 1'
_space_group_IT_number 1
_cell_length_a 4.299
_cell_length_b 4.299
_cell_length_c 4.299
_cell_angle_alpha 60.00
_cell_angle_beta 60.00
_cell_angle_gamma 60.00
loop_
_space_group_symop_operation_xyz
'x,y,z'
loop_
_atom_site_label
_atom_site_type_symbol
_atom_site_fract_x
_atom_site_fract_y
_atom_site_fract_z
Be1 Be 0.000 0.000 0.000
Ga1 Ga 0.750 0.750 0.750
Mo1 Mo 0.250 0.250 0.250
Mo2 Mo 0.500 0.500 0.500
```

Entry 7:
A relaxed structure of BeGaReMo. Source: OQMD, functional PBE.

CIF file:
```
data_BeGaReMo
_space_group_name_H-M_alt 'P 1'
_space_group_IT_number 1
_cell_length_a 4.266
_cell_length_b 4.266
_cell_length_c 4.266
_cell_angle_alpha 60.00
_cell_angle_beta 60.00
_cell_angle_gamma 60.00
loop_
_space_group_symop_operation_xyz
'x,y,z'
loop_
_atom_site_label
_atom_site_type_symbol
_atom_site_fract_x
_atom_site_fract_y
_atom_site_fract_z
Be1 Be 0.000 0.000 0.000
Ga1 Ga 0.250 0.250 0.250
Re1 Re 0.500 0.500 0.500
Mo1 Mo 0.750 0.750 0.750
```

Entry 8:
A relaxed structure of BeGaReMo. Source: OQMD, functional PBE.

CIF file:
```
data_BeGaReMo
_space_group_name_H-M_alt 'P 1'
_space_group_IT_number 1
_cell_length_a 4.228
_cell_length_b 4.228
_cell_length_c 4.228
_cell_angle_alpha 60.00
_cell_angle_beta 60.00
_cell_angle_gamma 60.00
loop_
_space_group_symop_operation_xyz
'x,y,z'
loop_
_atom_site_label
_atom_site_type_symbol
_atom_site_fract_x
_atom_site_fract_y
_atom_site_fract_z
Be1 Be 0.000 0.000 0.000
Ga1 Ga 0.500 0.500 0.500
Re1 Re 0.250 0.250 0.250
Mo1 Mo 0.750 0.750 0.750
```

Entry 9:
A relaxed structure of BeNb4Ga. Source: OQMD, functional PBE.

CIF file:
```
data_BeNb4Ga
_space_group_name_H-M_alt 'P 1'
_space_group_IT_number 1
_cell_length_a 6.145
_cell_length_b 6.145
_cell_length_c 5.119
_cell_angle_alpha 90.00
_cell_angle_beta 90.00
_cell_angle_gamma 90.00
loop_
_space_group_symop_operation_xyz
'x,y,z'
loop_
_atom_site_label
_atom_site_type_symbol
_atom_site_fract_x
_atom_site_fract_y
_atom_site_fract_z
Be1 Be 0.000 0.000 0.250
Be2 Be 0.000 0.000 0.750
Nb1 Nb 0.141 0.326 0.000
Nb2 Nb 0.141 0.674 0.500
Nb3 Nb 0.326 0.141 0.500
Nb4 Nb 0.326 0.859 0.000
Nb5 Nb 0.674 0.141 0.000
Nb6 Nb 0.674 0.859 0.500
Nb7 Nb 0.859 0.326 0.500
Nb8 Nb 0.859 0.674 0.000
Ga1 Ga 0.500 0.500 0.250
Ga2 Ga 0.500 0.500 0.750
```

Entry 10:
A relaxed structure of BeNbGaOs. Source: OQMD, functional PBE.

CIF file:
```
data_BeNbGaOs
_space_group_name_H-M_alt 'P 1'
_space_group_IT_number 1
_cell_length_a 4.319
_cell_length_b 4.319
_cell_length_c 4.319
_cell_angle_alpha 60.00
_cell_angle_beta 60.00
_cell_angle_gamma 60.00
loop_
_space_group_symop_operation_xyz
'x,y,z'
loop_
_atom_site_label
_atom_site_type_symbol
_atom_site_fract_x
_atom_site_fract_y
_atom_site_fract_z
Be1 Be 0.000 0.000 0.000
Nb1 Nb 0.500 0.500 0.500
Ga1 Ga 0.250 0.250 0.250
Os1 Os 0.750 0.750 0.750
```

Entry 11:
A relaxed structure of BeNbGaOs. Source: OQMD, functional PBE.

CIF file:
```
data_BeNbGaOs
_space_group_name_H-M_alt 'P 1'
_space_group_IT_number 1
_cell_length_a 4.315
_cell_length_b 4.315
_cell_length_c 4.315
_cell_angle_alpha 60.00
_cell_angle_beta 60.00
_cell_angle_gamma 60.00
loop_
_space_group_symop_operation_xyz
'x,y,z'
loop_
_atom_site_label
_atom_site_type_symbol
_atom_site_fract_x
_atom_site_fract_y
_atom_site_fract_z
Be1 Be 0.000 0.000 0.000
Nb1 Nb 0.250 0.250 0.250
Ga1 Ga 0.750 0.750 0.750
Os1 Os 0.500 0.500 0.500
```

Entry 12:
A relaxed structure of BeNbGaOs. Source: OQMD, functional PBE.

CIF file:
```
data_BeNbGaOs
_space_group_name_H-M_alt 'P 1'
_space_group_IT_number 1
_cell_length_a 4.269
_cell_length_b 4.269
_cell_length_c 4.269
_cell_angle_alpha 60.00
_cell_angle_beta 60.00
_cell_angle_gamma 60.00
loop_
_space_group_symop_operation_xyz
'x,y,z'
loop_
_atom_site_label
_atom_site_type_symbol
_atom_site_fract_x
_atom_site_fract_y
_atom_site_fract_z
Be1 Be 0.000 0.000 0.000
Nb1 Nb 0.250 0.250 0.250
Ga1 Ga 0.500 0.500 0.500
Os1 Os 0.750 0.750 0.750
```

Entry 13:
A relaxed structure of NdBeGa. Source: OQMD, functional PBE.

CIF file:
```
data_NdBeGa
_space_group_name_H-M_alt 'P 1'
_space_group_IT_number 1
_cell_length_a 4.440
_cell_length_b 4.440
_cell_length_c 4.440
_cell_angle_alpha 60.00
_cell_angle_beta 60.00
_cell_angle_gamma 60.00
loop_
_space_group_symop_operation_xyz
'x,y,z'
loop_
_atom_site_label
_atom_site_type_symbol
_atom_site_fract_x
_atom_site_fract_y
_atom_site_fract_z
Nd1 Nd 0.000 0.000 0.000
Be1 Be 0.750 0.750 0.750
Ga1 Ga 0.500 0.500 0.500
```

Entry 14:
A relaxed structure of BeGaNi2. Source: OQMD, functional PBE.

CIF file:
```
data_BeGaNi2
_space_group_name_H-M_alt 'P 1'
_space_group_IT_number 1
_cell_length_a 3.956
_cell_length_b 3.956
_cell_length_c 3.956
_cell_angle_alpha 60.00
_cell_angle_beta 60.00
_cell_angle_gamma 60.00
loop_
_space_group_symop_operation_xyz
'x,y,z'
loop_
_atom_site_label
_atom_site_type_symbol
_atom_site_fract_x
_atom_site_fract_y
_atom_site_fract_z
Be1 Be 0.000 0.000 0.000
Ga1 Ga 0.750 0.750 0.750
Ni1 Ni 0.250 0.250 0.250
Ni2 Ni 0.500 0.500 0.500
```

Entry 15:
A relaxed structure of BeGa2Ni. Source: OQMD, functional PBE.

CIF file:
```
data_BeGa2Ni
_space_group_name_H-M_alt 'P 1'
_space_group_IT_number 1
_cell_length_a 4.162
_cell_length_b 4.162
_cell_length_c 4.162
_cell_angle_alpha 60.00
_cell_angle_beta 60.00
_cell_angle_gamma 60.00
loop_
_space_group_symop_operation_xyz
'x,y,z'
loop_
_atom_site_label
_atom_site_type_symbol
_atom_site_fract_x
_atom_site_fract_y
_atom_site_fract_z
Be1 Be 0.000 0.000 0.000
Ga1 Ga 0.500 0.500 0.500
Ga2 Ga 0.750 0.750 0.750
Ni1 Ni 0.250 0.250 0.250
```

Entry 16:
A relaxed structure of BeGaNiOs. Source: OQMD, functional PBE.

CIF file:
```
data_BeGaNiOs
_space_group_name_H-M_alt 'P 1'
_space_group_IT_number 1
_cell_length_a 4.076
_cell_length_b 4.076
_cell_length_c 4.076
_cell_angle_alpha 60.00
_cell_angle_beta 60.00
_cell_angle_gamma 60.00
loop_
_space_group_symop_operation_xyz
'x,y,z'
loop_
_atom_site_label
_atom_site_type_symbol
_atom_site_fract_x
_atom_site_fract_y
_atom_site_fract_z
Be1 Be 0.000 0.000 0.000
Ga1 Ga 0.250 0.250 0.250
Ni1 Ni 0.500 0.500 0.500
Os1 Os 0.750 0.750 0.750
```

Entry 17:
A relaxed structure of BeGaReNi. Source: OQMD, functional PBE.

CIF file:
```
data_BeGaReNi
_space_group_name_H-M_alt 'P 1'
_space_group_IT_number 1
_cell_length_a 4.103
_cell_length_b 4.103
_cell_length_c 4.103
_cell_angle_alpha 60.00
_cell_angle_beta 60.00
_cell_angle_gamma 60.00
loop_
_space_group_symop_operation_xyz
'x,y,z'
loop_
_atom_site_label
_atom_site_type_symbol
_atom_site_fract_x
_atom_site_fract_y
_atom_site_fract_z
Be1 Be 0.000 0.000 0.000
Ga1 Ga 0.250 0.250 0.250
Re1 Re 0.750 0.750 0.750
Ni1 Ni 0.500 0.500 0.500
```

Entry 18:
A relaxed structure of ScBeGaNi. Source: OQMD, functional PBE.

CIF file:
```
data_ScBeGaNi
_space_group_name_H-M_alt 'P 1'
_space_group_IT_number 1
_cell_length_a 4.269
_cell_length_b 4.269
_cell_length_c 4.269
_cell_angle_alpha 60.00
_cell_angle_beta 60.00
_cell_angle_gamma 60.00
loop_
_space_group_symop_operation_xyz
'x,y,z'
loop_
_atom_site_label
_atom_site_type_symbol
_atom_site_fract_x
_atom_site_fract_y
_atom_site_fract_z
Sc1 Sc 0.000 0.000 0.000
Be1 Be 0.500 0.500 0.500
Ga1 Ga 0.250 0.250 0.250
Ni1 Ni 0.750 0.750 0.750
```

Entry 19:
A relaxed structure of ScBeGaNi. Source: OQMD, functional PBE.

CIF file:
```
data_ScBeGaNi
_space_group_name_H-M_alt 'P 1'
_space_group_IT_number 1
_cell_length_a 4.240
_cell_length_b 4.240
_cell_length_c 4.240
_cell_angle_alpha 60.00
_cell_angle_beta 60.00
_cell_angle_gamma 60.00
loop_
_space_group_symop_operation_xyz
'x,y,z'
loop_
_atom_site_label
_atom_site_type_symbol
_atom_site_fract_x
_atom_site_fract_y
_atom_site_fract_z
Sc1 Sc 0.000 0.000 0.000
Be1 Be 0.750 0.750 0.750
Ga1 Ga 0.250 0.250 0.250
Ni1 Ni 0.500 0.500 0.500
```

Entry 20:
A relaxed structure of ScBeGaNi. Source: OQMD, functional PBE.

CIF file:
```
data_ScBeGaNi
_space_group_name_H-M_alt 'P 1'
_space_group_IT_number 1
_cell_length_a 4.233
_cell_length_b 4.233
_cell_length_c 4.233
_cell_angle_alpha 60.00
_cell_angle_beta 60.00
_cell_angle_gamma 60.00
loop_
_space_group_symop_operation_xyz
'x,y,z'
loop_
_atom_site_label
_atom_site_type_symbol
_atom_site_fract_x
_atom_site_fract_y
_atom_site_fract_z
Sc1 Sc 0.000 0.000 0.000
Be1 Be 0.250 0.250 0.250
Ga1 Ga 0.500 0.500 0.500
Ni1 Ni 0.750 0.750 0.750
```

| no. | V (Å³/cell) | E (eV per atom) | total moment (μB per formula unit) |
| --- | --- | --- | --- |
| 1 | 51.2 | -3.548 | 0.0 |
| 2 | 49.1 | -5.090 | 1.2 |
| 3 | 46.5 | -5.247 | 1.0 |
| 4 | 49.3 | -4.980 | 0.0 |
| 5 | 55.9 | -4.715 | 0.0 |
| 6 | 56.2 | -6.996 | 0.0 |
| 7 | 54.9 | -7.441 | 0.0 |
| 8 | 53.5 | -7.235 | 0.2 |
| 9 | 193.3 | -8.074 | 0.0 |
| 10 | 57.0 | -7.095 | 0.0 |
| 11 | 56.8 | -7.167 | 0.0 |
| 12 | 55.0 | -7.003 | 0.3 |
| 13 | 61.9 | -4.080 | 0.0 |
| 14 | 43.8 | -4.695 | 0.0 |
| 15 | 51.0 | -3.722 | 0.0 |
| 16 | 47.9 | -5.806 | 0.0 |
| 17 | 48.8 | -5.977 | 1.2 |
| 18 | 55.0 | -4.940 | 0.0 |
| 19 | 53.9 | -4.988 | 0.0 |
| 20 | 53.6 | -5.047 | 0.0 |